DFT (PBE-GGA) results for crystalline Ho3ScTl4 at its relaxed geometry.

Values from the calculation:
- volume (Å³ per cell) = 208
- E above lowest polymorph (meV per atom) = 0
- ΔH_f (0 K) (eV/f.u.) = -2.49

Cell and atoms, written as CIF:
```
data_Ho3ScTl4
_cell_length_a 3.690
_cell_length_b 3.690
_cell_length_c 15.312
_cell_angle_alpha 90.00
_cell_angle_beta 90.00
_cell_angle_gamma 90.00
_symmetry_space_group_name_H-M 'P 4/m m m'
_symmetry_Int_Tables_number 123
_symmetry_space_group_name_Hall '-P 4 2'
loop_
_atom_site_label
_atom_site_type_symbol
_atom_site_fract_x
_atom_site_fract_y
_atom_site_fract_z
Ho1 Ho 0.000 0.000 0.000
Ho2 Ho 0.000 0.000 0.258
Sc1 Sc 0.000 0.000 0.500
Tl1 Tl 0.500 0.500 0.130
Tl2 Tl 0.500 0.500 0.386
```